## Sm4Zn2In (PBE)

Data for crystalline Sm4Zn2In at its relaxed geometry.

Total magnetization (μB/f.u.): 0.0
DFT formation energy (kJ/mol of atoms): -10.6
Density (g cm⁻³): 6.853

abc: 5.1217 5.1217 27.1057
angles: 90.00 90.00 120.00
Space group R-3m (No. 166, hexagonal axes)
One atom of each set of equivalent atoms:
Sm1 0.0000 0.0000 0.1196
Sm2 0.0000 0.0000 0.2931
Zn1 0.0000 0.0000 0.4017
In1 0.0000 0.0000 0.5000